LaBeAl2: PBEsol geometry, SCAN.

Unit cell a=2.9883 b=3.6465 c=6.9463 alpha=90.00 beta=90.00 gamma=90.00
Last column: nearest neighbours and their distance in Å.
Fractional coordinates of all 4 atoms:
La1 0.0000 0.0000 0.0000  2 La 2.99, 5 Al 3.20-3.26, 4 Be 3.20
Be1 0.5000 0.5000 0.6883  5 Al 2.53-2.57
Al1 0.0000 0.0000 0.5398  4 Be 2.57, 4 Al 2.79
Al2 0.5000 0.5000 0.3247  1 Be 2.53, 4 Al 2.79

Output
crystal system: orthorhombic
calculated total energy: -15.768 eV per atom
energy of formation from the pure elements: -0.109 eV/f.u.

=====

LiBeAl2: PBEsol geometry, SCAN.

Unit cell a=4.6473 b=4.6473 c=4.6437 alpha=99.64 beta=99.64 gamma=34.40
Last column: nearest neighbours and their distance in Å.
Fractional coordinates of all 4 atoms:
Li1 0.0000 0.0000 0.0000  7 Al 2.58-2.78, 3 Be 2.69, 2 Li 2.75
Be1 0.2507 0.2507 0.7470  7 Al 2.57-2.73, 3 Li 2.69, 2 Be 2.75
Al1 0.5138 0.5138 0.5237  3 Be 2.57-2.72, 4 Li 2.63-2.78, 5 Al 2.73-2.77
Al2 0.7588 0.7588 0.2410  3 Li 2.58-2.74, 4 Be 2.66-2.73, 5 Al 2.73-2.77

Output
crystal system: monoclinic
calculated total energy: -5.444 eV per atom
energy of formation from the pure elements: 0.470 eV/f.u.

=====

Li2BeAl2: PBEsol geometry, SCAN.

Unit cell a=6.9039 b=6.9039 c=6.9039 alpha=149.39 beta=149.39 gamma=43.84
Last column: nearest neighbours and their distance in Å.
Fractional coordinates of all 5 atoms:
Li1 0.0914 0.0914 0.0000  1 Li 2.34
Li2 0.9086 0.9086 0.0000  1 Li 2.34
Be1 0.5000 0.5000 0.0000  8 Li 2.83
Al1 0.2500 0.7500 0.5000  4 Al 2.58, 4 Li 2.73
Al2 0.7500 0.2500 0.5000  4 Al 2.58, 4 Li 2.73

Output
crystal system: tetragonal
calculated total energy: -4.451 eV per atom
energy of formation from the pure elements: 2.381 eV/f.u.